K2BiAu2 (meta-GGA SCAN, single point on PBEsol structure); total moment = 0.000 μB/f.u.; energy of formation from the pure elements = -0.37 eV per atom; SG = P4/mbm; uncorrected energy = -470.8 eV for the cell shown
1.0
-5.087 1.004 -0.329
-0.879 -5.905 -4.434
-1.232 -4.286 5.952
K Au Bi
4 4 2
Cartesian
-3.044 -2.170 -0.580
-3.672 -5.779 -1.886
-4.153 -7.017 1.768
-3.525 -3.408 3.074
-0.716 -4.291 -2.018
-1.541 -7.835 -0.094
-0.569 -2.356 1.612
-1.394 -5.900 3.535
-1.055 -5.096 0.759
0.000 0.000 0.000


KBiAu (meta-GGA SCAN, single point on PBEsol structure); total moment = 0.000 μB/f.u.; energy of formation from the pure elements = -0.40 eV per atom; SG = P-1; uncorrected energy = -314.5 eV for the cell shown
1.0
-4.433 1.306 3.496
3.552 -2.071 4.127
2.454 5.547 -2.722
K Au Bi
2 2 2
Cartesian
0.465 4.481 -0.217
1.108 0.301 5.119
0.000 0.000 0.000
0.786 2.391 2.451
-0.723 4.375 3.518
2.296 0.408 1.384


LaBi2Au (meta-GGA SCAN, single point on PBEsol structure); total moment = 0.000 μB/f.u.; energy of formation from the pure elements = -0.75 eV per atom; SG = P4/nmm; uncorrected energy = -544.8 eV for the cell shown
1.0
4.670 0.000 0.000
0.000 4.670 0.000
0.000 0.000 9.876
Bi Au La
4 2 2
Cartesian
0.000 0.000 4.938
2.335 2.335 4.938
0.000 2.335 8.040
2.335 0.000 1.836
2.335 2.335 0.000
0.000 0.000 0.000
0.000 2.335 2.306
2.335 0.000 7.570


La3BiAu (meta-GGA SCAN, single point on PBEsol structure); total moment = 2.447 μB/f.u.; energy of formation from the pure elements = 0.16 eV per atom; SG = Pm-3m; uncorrected energy = -276.2 eV for the cell shown
1.0
5.981 0.000 0.000
0.000 5.981 0.000
0.000 0.000 5.981
La Au Bi
3 1 1
Cartesian
0.000 0.000 2.991
0.000 2.991 0.000
2.991 0.000 0.000
2.991 2.991 2.991
0.000 0.000 0.000


La3Bi4Au3 (meta-GGA SCAN, single point on PBEsol structure); total moment = 0.000 μB/f.u.; energy of formation from the pure elements = -1.02 eV per atom; SG = I-43d; uncorrected energy = -1322.7 eV for the cell shown
1.0
8.882 0.000 0.000
-2.961 8.374 0.000
-2.961 -4.187 7.252
Bi Au La
8 6 6
Cartesian
2.435 -0.607 3.626
-3.486 1.350 4.914
0.955 3.580 3.626
-0.526 -0.743 5.965
3.915 5.537 2.339
6.018 0.000 0.000
1.577 0.000 0.000
-2.006 3.444 1.288
2.220 -1.570 6.346
-0.740 2.093 5.439
3.701 3.664 4.533
-2.220 6.280 1.813
0.740 2.617 0.907
5.181 -0.523 2.720
3.701 2.093 1.813
0.740 5.757 0.907
5.181 -2.093 5.439
2.220 1.570 6.346
-2.220 4.710 4.533
-0.740 0.523 2.720


LiBi2Au2 (meta-GGA SCAN, single point on PBEsol structure); total moment = 0.000 μB/f.u.; energy of formation from the pure elements = -0.19 eV per atom; SG = P4/mbm; uncorrected energy = -597.6 eV for the cell shown
1.0
-0.204 -2.214 3.555
6.718 2.330 1.836
-2.945 5.785 3.434
Li Bi Au
2 4 4
Cartesian
1.887 4.057 2.635
0.000 0.000 0.000
4.486 2.701 4.412
1.574 0.660 2.974
-0.917 3.199 4.413
1.996 5.241 5.851
-0.096 5.853 3.640
3.869 2.262 1.631
3.939 5.689 3.769
-0.166 2.425 1.501


Li2BiAu2 (meta-GGA SCAN, single point on PBEsol structure); total moment = 0.000 μB/f.u.; energy of formation from the pure elements = -0.37 eV per atom; SG = P4/mbm; uncorrected energy = -447.0 eV for the cell shown
1.0
-0.390 0.909 2.924
4.825 -5.346 2.306
5.743 4.861 -0.746
Au Li Bi
4 4 2
Cartesian
7.823 1.120 2.324
4.254 2.813 1.322
5.924 -2.388 3.162
2.354 -0.695 2.159
3.849 -2.739 1.365
6.719 2.254 0.194
7.821 -1.528 1.518
2.747 1.043 0.042
0.000 0.000 0.000
5.284 -0.242 0.780


Mg2BiAu2 (meta-GGA SCAN, single point on PBEsol structure); total moment = 0.000 μB/f.u.; energy of formation from the pure elements = -0.52 eV per atom; SG = P4/mbm; uncorrected energy = -458.9 eV for the cell shown
1.0
3.315 0.000 0.000
0.000 7.824 0.000
0.000 0.000 7.824
Au Mg Bi
4 4 2
Cartesian
0.000 4.939 1.027
0.000 6.797 4.939
0.000 2.885 6.797
0.000 1.027 2.885
1.658 6.577 2.665
1.658 1.247 5.159
1.658 5.159 6.577
1.658 2.665 1.247
0.000 0.000 0.000
0.000 3.912 3.912


MgBi2Au (meta-GGA SCAN, single point on PBEsol structure); total moment = 0.000 μB/f.u.; energy of formation from the pure elements = -0.03 eV per atom; SG = I-42d; uncorrected energy = -462.8 eV for the cell shown
1.0
-0.981 0.691 -4.348
-0.296 -4.455 -0.641
-9.493 2.218 4.833
Au Mg Bi
2 2 4
Cartesian
0.000 0.000 0.000
-5.214 -2.059 0.849
-5.556 0.514 -1.005
-0.638 -1.882 -2.495
-7.923 -0.763 0.496
-7.275 1.267 3.012
-3.359 -0.500 -2.909
-2.984 -3.096 -0.911


Mn3BiAu (meta-GGA SCAN, single point on PBEsol structure); total moment = 13.057 μB/f.u.; energy of formation from the pure elements = 0.88 eV per atom; SG = Pm-3m; uncorrected energy = -198.1 eV for the cell shown
1.0
5.015 0.000 0.000
0.000 5.015 0.000
0.000 0.000 5.015
Mn Bi Au
3 1 1
Cartesian
0.000 0.000 2.508
2.508 0.000 0.000
0.000 2.508 0.000
0.000 0.000 0.000
2.508 2.508 2.508


MnBiOs2Au (meta-GGA SCAN, single point on PBEsol structure); total moment = 8.662 μB/f.u.; energy of formation from the pure elements = 2.26 eV per atom; SG = P4/mmm; uncorrected energy = -298.4 eV for the cell shown
1.0
4.846 0.000 0.000
0.000 4.846 0.000
0.000 0.000 5.234
Bi Au Mn Os
1 1 1 2
Cartesian
0.000 0.000 2.617
0.000 0.000 0.000
2.423 2.423 2.617
2.423 0.000 0.000
0.000 2.423 0.000


MnZnBi2Au (meta-GGA SCAN, single point on PBEsol structure); total moment = 1.644 μB/f.u.; energy of formation from the pure elements = 0.50 eV per atom; SG = P4/mmm; uncorrected energy = -255.6 eV for the cell shown
1.0
4.655 0.000 0.000
0.000 4.936 0.000
0.000 0.000 4.936
Zn Mn Bi Au
1 1 2 1
Cartesian
2.327 0.000 0.000
0.000 0.000 0.000
0.000 0.000 2.468
0.000 2.468 0.000
2.327 2.468 2.468


NaBiAu2N (meta-GGA SCAN, single point on PBEsol structure); total moment = 0.000 μB/f.u.; E_form (uncorrected) = 0.436 eV/atom; SG = P4/mmm; uncorrected energy = -228.2 eV for the cell shown
1.0
4.398 0.000 0.000
0.000 4.398 0.000
0.000 0.000 4.603
Bi N Na Au
1 1 1 2
Cartesian
2.199 2.199 2.301
0.000 0.000 0.000
0.000 0.000 2.301
0.000 2.199 0.000
2.199 0.000 0.000


Na2BiAu2 (meta-GGA SCAN, single point on PBEsol structure); total moment = 0.000 μB/f.u.; energy of formation from the pure elements = -0.34 eV per atom; SG = P4/mbm; uncorrected energy = -454.1 eV for the cell shown
1.0
3.969 0.000 0.000
0.000 7.590 0.000
0.000 0.000 7.590
Au Na Bi
4 4 2
Cartesian
0.000 6.605 4.780
0.000 4.780 0.985
0.000 0.985 2.810
0.000 2.810 6.605
1.984 6.326 2.531
1.984 1.264 5.059
1.984 5.059 6.326
1.984 2.531 1.264
0.000 3.795 3.795
0.000 0.000 0.000


Na2Bi2Au (meta-GGA SCAN, single point on PBEsol structure); total moment = 0.000 μB/f.u.; energy of formation from the pure elements = -0.31 eV per atom; SG = P4/mbm; uncorrected energy = -472.6 eV for the cell shown
1.0
-3.349 1.004 -3.736
-5.626 -1.349 4.680
-0.067 7.171 1.987
Na Bi Au
4 4 2
Cartesian
-6.395 1.779 2.707
-3.571 1.232 0.028
-5.470 5.594 2.903
-2.646 5.047 0.224
-0.857 2.323 1.393
-3.656 0.188 3.328
-2.036 5.634 3.339
-4.836 3.499 5.275
-2.846 2.911 3.334
0.000 0.000 0.000


NaBiRuAu2 (meta-GGA SCAN, single point on PBEsol structure); total moment = 3.310 μB/f.u.; energy of formation from the pure elements = 1.22 eV per atom; SG = P4/mmm; uncorrected energy = -249.8 eV for the cell shown
1.0
5.224 0.000 0.000
0.000 5.224 0.000
0.000 0.000 5.464
Au Na Bi Ru
2 1 1 1
Cartesian
0.000 2.612 0.000
2.612 0.000 0.000
0.000 0.000 2.732
0.000 0.000 0.000
2.612 2.612 2.732


NiBi2AuO (meta-GGA SCAN, single point on PBEsol structure); total moment = 0.517 μB/f.u.; E_form (uncorrected) = -0.175 eV/atom; SG = P4/mmm; uncorrected energy = -249.6 eV for the cell shown
1.0
-2.720 -2.069 -0.097
2.115 -2.586 -4.160
2.444 -3.369 3.338
O Au Bi Ni
1 1 2 1
Cartesian
-1.360 -1.035 -0.048
0.919 -4.012 -0.459
1.057 -1.293 -2.080
1.222 -1.685 1.669
0.000 0.000 0.000


BiAu2O (meta-GGA SCAN, single point on PBEsol structure); total moment = 0.987 μB/f.u.; E_form (uncorrected) = 0.461 eV/atom; SG = Fm-3m; uncorrected energy = -221.3 eV for the cell shown
1.0
-2.994 -2.996 1.918
0.177 -0.862 4.566
-3.377 1.555 2.792
O Bi Au
1 1 2
Cartesian
0.000 0.000 0.000
-3.097 -1.151 4.638
-1.548 -0.576 2.319
-4.645 -1.727 6.957


BiAuO2 (meta-GGA SCAN, single point on PBEsol structure); total moment = 0.000 μB/f.u.; E_form (uncorrected) = -0.738 eV/atom; SG = P2_1/m; uncorrected energy = -326.3 eV for the cell shown
1.0
3.624 0.000 0.000
0.000 6.400 -0.030
0.000 -2.875 5.896
O Bi Au
4 2 2
Cartesian
2.718 3.299 4.762
0.906 0.227 1.104
0.906 4.031 2.398
2.718 -0.506 3.468
0.906 -1.719 4.561
2.718 5.244 1.305
2.718 1.416 4.047
0.906 2.110 1.819


BiPd2Au (meta-GGA SCAN, single point on PBEsol structure); total moment = 0.000 μB/f.u.; energy of formation from the pure elements = -0.01 eV per atom; SG = I-42d; uncorrected energy = -426.7 eV for the cell shown
1.0
-2.409 4.711 1.894
-2.092 0.058 5.534
3.415 4.022 2.676
Au Pd Bi
2 4 2
Cartesian
0.059 3.218 4.578
-1.204 2.356 0.947
-1.942 1.801 3.473
-0.691 2.659 7.100
0.207 4.955 2.531
0.254 8.168 7.104
-1.145 5.573 5.525
0.000 0.000 0.000


Bi2Pd2Au (meta-GGA SCAN, single point on PBEsol structure); total moment = 0.000 μB/f.u.; energy of formation from the pure elements = -0.13 eV per atom; SG = P4/mbm; uncorrected energy = -585.0 eV for the cell shown
1.0
-0.553 -3.690 -0.858
6.010 0.061 -4.135
3.999 -1.944 5.783
Bi Au Pd
4 2 4
Cartesian
7.062 -3.424 1.635
6.066 -2.442 -1.947
2.394 -2.148 -0.845
3.390 -3.131 2.737
5.004 -0.941 0.824
0.000 0.000 0.000
7.736 -1.183 0.104
5.644 -1.658 3.492
2.273 -0.700 1.544
4.365 -0.225 -1.844


BiSbPd2Au (meta-GGA SCAN, single point on PBEsol structure); total moment = 0.000 μB/f.u.; E_form (uncorrected) = 0.364 eV/atom; SG = P4/mmm; uncorrected energy = -248.7 eV for the cell shown
1.0
4.895 0.000 0.000
0.000 4.895 0.000
0.000 0.000 5.046
Pd Au Sb Bi
2 1 1 1
Cartesian
2.447 0.000 0.000
0.000 2.447 0.000
0.000 0.000 2.523
0.000 0.000 0.000
2.447 2.447 2.523


SiBiPd2Au (meta-GGA SCAN, single point on PBEsol structure); total moment = 0.000 μB/f.u.; E_form (uncorrected) = 1.040 eV/atom; SG = P4/mmm; uncorrected energy = -218.1 eV for the cell shown
1.0
4.982 0.000 0.000
0.000 4.982 0.000
0.000 0.000 5.122
Bi Si Au Pd
1 1 1 2
Cartesian
0.000 0.000 0.000
2.491 2.491 2.561
0.000 0.000 2.561
0.000 2.491 0.000
2.491 0.000 0.000


PrBiAu2 (meta-GGA SCAN, single point on PBEsol structure); total moment = 0.000 μB/f.u.; energy of formation from the pure elements = -0.73 eV per atom; SG = Fm-3m; uncorrected energy = -263.2 eV for the cell shown
1.0
-2.533 0.887 -4.336
-5.063 0.606 0.083
-2.033 4.595 -0.871
Pr Bi Au
1 1 2
Cartesian
0.000 0.000 0.000
-4.815 3.044 -2.562
-2.407 1.522 -1.281
-7.222 4.566 -3.843


SiBiPtAu2 (meta-GGA SCAN, single point on PBEsol structure); total moment = 0.000 μB/f.u.; E_form (uncorrected) = 0.839 eV/atom; SG = P4/mmm; uncorrected energy = -292.9 eV for the cell shown
1.0
5.006 0.000 0.000
0.000 5.055 0.000
0.000 0.000 5.055
Bi Pt Au Si
1 1 2 1
Cartesian
2.503 0.000 0.000
0.000 0.000 0.000
0.000 2.527 0.000
0.000 0.000 2.527
2.503 2.527 2.527